(1)
# Pm4Pr2SmHo2 GGA-PBE relaxed
# DOS at the Fermi energy, states/eV per cell: 14.165
# E_form, eV/atom: 0.018
data_Pm4Pr2SmHo2
_chemical_formula_sum 'Pm4 Pr2 Sm1 Ho2'
_space_group_name_H-M_alt 'P 1'
_space_group_IT_number 1
_space_group_name_Hall 'P 1'
_cell_length_a 8.138
_cell_length_b 8.138
_cell_length_c 8.107
_cell_angle_alpha 107.61
_cell_angle_beta 107.61
_cell_angle_gamma 36.87
loop_
_atom_site_label
_atom_site_type_symbol
_atom_site_fract_x
_atom_site_fract_y
_atom_site_fract_z
Pm1 Pm 0.056 0.056 0.331
Pm2 Pm 0.278 0.278 0.670
Pm3 Pm 0.722 0.722 0.330
Pm4 Pm 0.944 0.944 0.669
Pr1 Pr 0.388 0.388 0.332
Pr2 Pr 0.612 0.612 0.668
Sm1 Sm 0.500 0.500 0.000
Ho1 Ho 0.167 0.167 0.000
Ho2 Ho 0.833 0.833 0.000

***

(2)
# TaZn2In GGA-PBE relaxed
# DOS at the Fermi energy, states/eV per cell: 1.262
# E_form, eV/atom: 0.149
data_TaZn2In
_chemical_formula_sum 'Ta1 Zn2 In1'
_space_group_name_H-M_alt 'P 1'
_space_group_IT_number 1
_space_group_name_Hall 'P 1'
_cell_length_a 5.106
_cell_length_b 5.106
_cell_length_c 2.924
_cell_angle_alpha 90.00
_cell_angle_beta 90.00
_cell_angle_gamma 111.66
loop_
_atom_site_label
_atom_site_type_symbol
_atom_site_fract_x
_atom_site_fract_y
_atom_site_fract_z
Ta1 Ta 0.000 0.000 0.000
Zn1 Zn 0.000 0.500 0.500
Zn2 Zn 0.500 0.000 0.500
In1 In 0.500 0.500 0.000

***

(3)
# KAl2Re GGA-PBE relaxed
# DOS at the Fermi energy, states/eV per cell: 0.949
# Polymorph energy (0 for the lowest one), eV/atom: 0.107
# E_form, eV/atom: 0.344
data_KAl2Re
_chemical_formula_sum 'K1 Al2 Re1'
_space_group_name_H-M_alt 'P 1'
_space_group_IT_number 1
_space_group_name_Hall 'P 1'
_cell_length_a 10.190
_cell_length_b 10.190
_cell_length_c 10.190
_cell_angle_alpha 16.93
_cell_angle_beta 16.93
_cell_angle_gamma 16.93
loop_
_atom_site_label
_atom_site_type_symbol
_atom_site_fract_x
_atom_site_fract_y
_atom_site_fract_z
K1 K 0.000 0.000 0.000
Al1 Al 0.233 0.233 0.233
Al2 Al 0.767 0.767 0.767
Re1 Re 0.500 0.500 0.500

***

(4)
# Pr12NdY2 GGA-PBE relaxed
# DOS at the Fermi energy, states/eV per cell: 43.107
# E_form, eV/atom: 0.144
data_Pr12NdY2
_chemical_formula_sum 'Pr24 Nd2 Y4'
_space_group_name_H-M_alt 'P 1'
_space_group_IT_number 1
_space_group_name_Hall 'P 1'
_cell_length_a 6.926
_cell_length_b 6.926
_cell_length_c 25.269
_cell_angle_alpha 90.00
_cell_angle_beta 90.00
_cell_angle_gamma 116.51
loop_
_atom_site_label
_atom_site_type_symbol
_atom_site_fract_x
_atom_site_fract_y
_atom_site_fract_z
Pr1 Pr 0.003 0.503 0.132
Pr2 Pr 0.003 0.997 0.926
Pr3 Pr 0.021 0.521 0.585
Pr4 Pr 0.025 0.975 0.440
Pr5 Pr 0.250 0.250 0.199
Pr6 Pr 0.250 0.250 0.325
Pr7 Pr 0.250 0.250 0.675
Pr8 Pr 0.250 0.250 0.801
Pr9 Pr 0.475 0.525 0.440
Pr10 Pr 0.479 0.979 0.585
Pr11 Pr 0.497 0.503 0.926
Pr12 Pr 0.497 0.997 0.132
Pr13 Pr 0.503 0.003 0.868
Pr14 Pr 0.503 0.497 0.074
Pr15 Pr 0.521 0.021 0.415
Pr16 Pr 0.525 0.475 0.560
Pr17 Pr 0.750 0.750 0.199
Pr18 Pr 0.750 0.750 0.325
Pr19 Pr 0.750 0.750 0.675
Pr20 Pr 0.750 0.750 0.801
Pr21 Pr 0.975 0.025 0.560
Pr22 Pr 0.979 0.479 0.415
Pr23 Pr 0.997 0.003 0.074
Pr24 Pr 0.997 0.497 0.868
Nd1 Nd 0.250 0.750 0.002
Nd2 Nd 0.750 0.250 0.998
Y1 Y 0.250 0.750 0.272
Y2 Y 0.250 0.750 0.732
Y3 Y 0.750 0.250 0.268
Y4 Y 0.750 0.250 0.728

***

(5)
# CaEu2Zn GGA-PBE relaxed
# DOS at the Fermi energy, states/eV per cell: 9.953
# Polymorph energy (0 for the lowest one), eV/atom: 0.107
# E_form, eV/atom: -0.028
data_CaEu2Zn
_chemical_formula_sum 'Ca1 Eu2 Zn1'
_space_group_name_H-M_alt 'P 1'
_space_group_IT_number 1
_space_group_name_Hall 'P 1'
_cell_length_a 11.246
_cell_length_b 11.246
_cell_length_c 11.246
_cell_angle_alpha 20.05
_cell_angle_beta 20.05
_cell_angle_gamma 20.05
loop_
_atom_site_label
_atom_site_type_symbol
_atom_site_fract_x
_atom_site_fract_y
_atom_site_fract_z
Ca1 Ca 0.000 0.000 0.000
Eu1 Eu 0.234 0.234 0.234
Eu2 Eu 0.766 0.766 0.766
Zn1 Zn 0.500 0.500 0.500

***

(6)
# CaDy4 GGA-PBE relaxed
# DOS at the Fermi energy, states/eV per cell: 5.227
# E_form, eV/atom: 0.852
data_CaDy4
_chemical_formula_sum 'Ca1 Dy4'
_space_group_name_H-M_alt 'P 1'
_space_group_IT_number 1
_space_group_name_Hall 'P 1'
_cell_length_a 5.605
_cell_length_b 5.605
_cell_length_c 5.605
_cell_angle_alpha 90.00
_cell_angle_beta 90.00
_cell_angle_gamma 90.00
loop_
_atom_site_label
_atom_site_type_symbol
_atom_site_fract_x
_atom_site_fract_y
_atom_site_fract_z
Ca1 Ca 0.000 0.000 0.000
Dy1 Dy 0.000 0.000 0.500
Dy2 Dy 0.000 0.500 0.000
Dy3 Dy 0.500 0.000 0.000
Dy4 Dy 0.500 0.500 0.500

***

(7)
# CuPt4Rh3 GGA-PBE relaxed
# DOS at the Fermi energy, states/eV per cell: 12.599
# Polymorph energy (0 for the lowest one), eV/atom: 0.000
# E_form, eV/atom: 0.091
data_CuPt4Rh3
_chemical_formula_sum 'Cu1 Pt4 Rh3'
_space_group_name_H-M_alt 'P 1'
_space_group_IT_number 1
_space_group_name_Hall 'P 1'
_cell_length_a 6.889
_cell_length_b 6.889
_cell_length_c 6.889
_cell_angle_alpha 157.32
_cell_angle_beta 102.71
_cell_angle_gamma 81.80
loop_
_atom_site_label
_atom_site_type_symbol
_atom_site_fract_x
_atom_site_fract_y
_atom_site_fract_z
Cu1 Cu 0.000 0.000 0.000
Pt1 Pt 0.134 0.871 0.263
Pt2 Pt 0.392 0.129 0.263
Pt3 Pt 0.608 0.871 0.737
Pt4 Pt 0.866 0.129 0.737
Rh1 Rh 0.212 0.712 0.500
Rh2 Rh 0.500 0.500 0.000
Rh3 Rh 0.788 0.288 0.500

***

(8)
# Pm10TmSc6 GGA-PBE relaxed
# DOS at the Fermi energy, states/eV per cell: 27.266
# E_form, eV/atom: 0.136
data_Pm10TmSc6
_chemical_formula_sum 'Pm10 Tm1 Sc6'
_space_group_name_H-M_alt 'P 1'
_space_group_IT_number 1
_space_group_name_Hall 'P 1'
_cell_length_a 9.517
_cell_length_b 9.517
_cell_length_c 6.712
_cell_angle_alpha 90.00
_cell_angle_beta 90.00
_cell_angle_gamma 120.00
loop_
_atom_site_label
_atom_site_type_symbol
_atom_site_fract_x
_atom_site_fract_y
_atom_site_fract_z
Pm1 Pm 0.000 0.281 0.322
Pm2 Pm 0.000 0.719 0.678
Pm3 Pm 0.281 0.000 0.322
Pm4 Pm 0.281 0.281 0.678
Pm5 Pm 0.333 0.667 0.000
Pm6 Pm 0.333 0.667 0.500
Pm7 Pm 0.667 0.333 0.000
Pm8 Pm 0.667 0.333 0.500
Pm9 Pm 0.719 0.000 0.678
Pm10 Pm 0.719 0.719 0.322
Tm1 Tm 0.000 0.000 0.000
Sc1 Sc 0.000 0.359 0.829
Sc2 Sc 0.000 0.641 0.171
Sc3 Sc 0.359 0.000 0.829
Sc4 Sc 0.359 0.359 0.171
Sc5 Sc 0.641 0.000 0.171
Sc6 Sc 0.641 0.641 0.829

***

(9)
# EuErGe GGA-PBE relaxed
# DOS at the Fermi energy, states/eV per cell: 6.023
# Polymorph energy (0 for the lowest one), eV/atom: 0.074
# E_form, eV/atom: -0.391
data_EuErGe
_chemical_formula_sum 'Eu1 Er1 Ge1'
_space_group_name_H-M_alt 'P 1'
_space_group_IT_number 1
_space_group_name_Hall 'P 1'
_cell_length_a 4.831
_cell_length_b 4.831
_cell_length_c 4.314
_cell_angle_alpha 90.00
_cell_angle_beta 90.00
_cell_angle_gamma 120.00
loop_
_atom_site_label
_atom_site_type_symbol
_atom_site_fract_x
_atom_site_fract_y
_atom_site_fract_z
Eu1 Eu 0.000 0.000 0.000
Er1 Er 0.333 0.667 0.491
Ge1 Ge 0.667 0.333 0.557

***

(10)
# KSr3Rh GGA-PBE relaxed
# DOS at the Fermi energy, states/eV per cell: 11.695
# Polymorph energy (0 for the lowest one), eV/atom: 0.086
# E_form, eV/atom: -0.050
data_KSr3Rh
_chemical_formula_sum 'K4 Sr12 Rh4'
_space_group_name_H-M_alt 'P 1'
_space_group_IT_number 1
_space_group_name_Hall 'P 1'
_cell_length_a 11.407
_cell_length_b 11.407
_cell_length_c 11.407
_cell_angle_alpha 60.00
_cell_angle_beta 60.00
_cell_angle_gamma 60.00
loop_
_atom_site_label
_atom_site_type_symbol
_atom_site_fract_x
_atom_site_fract_y
_atom_site_fract_z
K1 K 0.000 0.000 0.000
K2 K 0.000 0.000 0.500
K3 K 0.000 0.500 0.000
K4 K 0.500 0.000 0.000
Sr1 Sr 0.195 0.195 0.555
Sr2 Sr 0.195 0.555 0.195
Sr3 Sr 0.195 0.555 0.555
Sr4 Sr 0.445 0.445 0.805
Sr5 Sr 0.445 0.805 0.445
Sr6 Sr 0.445 0.805 0.805
Sr7 Sr 0.555 0.195 0.195
Sr8 Sr 0.555 0.195 0.555
Sr9 Sr 0.555 0.555 0.195
Sr10 Sr 0.805 0.445 0.445
Sr11 Sr 0.805 0.445 0.805
Sr12 Sr 0.805 0.805 0.445
Rh1 Rh 0.000 0.500 0.500
Rh2 Rh 0.500 0.000 0.500
Rh3 Rh 0.500 0.500 0.000
Rh4 Rh 0.500 0.500 0.500

***

(11)
# MnAsP2 GGA-PBE relaxed
# DOS at the Fermi energy, states/eV per cell: 2.536
# E_form, eV/atom: 0.158
data_MnAsP2
_chemical_formula_sum 'Mn1 As1 P2'
_space_group_name_H-M_alt 'P 1'
_space_group_IT_number 1
_space_group_name_Hall 'P 1'
_cell_length_a 6.575
_cell_length_b 6.575
_cell_length_c 6.575
_cell_angle_alpha 155.78
_cell_angle_beta 148.65
_cell_angle_gamma 40.01
loop_
_atom_site_label
_atom_site_type_symbol
_atom_site_fract_x
_atom_site_fract_y
_atom_site_fract_z
Mn1 Mn 0.000 0.000 0.000
As1 As 0.791 0.291 0.500
P1 P 0.145 0.645 0.500
P2 P 0.445 0.445 0.000

***

Q: The lowest E_form belongs to which entry?
A: EuErGe